# 1
DFT (PBE-GGA) results for an optimized crystal structure of ZrAsN2.

Geometry as POSCAR:
```
ZrAsN2
1.0
0.0000 2.8747 2.8747
2.8747 0.0000 2.8747
2.8747 2.8747 0.0000
Zr As N
1 1 2
direct
0.0000 0.0000 0.0000
0.5000 0.5000 0.5000
0.2500 0.2500 0.2500
0.7500 0.7500 0.7500
```

uncorrected formation energy = 440 meV per atom
N(E_F) = 0.609 states/eV/atom
E above lowest polymorph = 895 meV per atom
space group = Fm-3m, No. 225

=====

# 2
DFT (PBE-GGA) results for an optimized crystal structure of ZrAsN3.

Geometry as POSCAR:
```
ZrAsN3
1.0
4.2195 0.0000 0.0000
0.0000 4.2195 0.0000
0.0000 0.0000 4.2195
Zr As N
1 1 3
direct
0.0000 0.0000 0.0000
0.5000 0.5000 0.5000
0.0000 0.0000 0.5000
0.0000 0.5000 0.0000
0.5000 0.0000 0.0000
```

uncorrected formation energy = 1046 meV per atom
N(E_F) = 0.489 states/eV/atom
space group = Pm-3m, No. 221

=====

# 3
DFT (PBE-GGA) results for an optimized crystal structure of ZrAs3N.

Geometry as POSCAR:
```
ZrAs3N
1.0
4.3487 0.0000 0.0000
0.0000 4.3487 0.0000
0.0000 0.0000 4.3487
Zr As N
1 3 1
direct
0.0000 0.0000 0.0000
0.0000 0.5000 0.5000
0.5000 0.0000 0.5000
0.5000 0.5000 0.0000
0.5000 0.5000 0.5000
```

uncorrected formation energy = 232 meV per atom
N(E_F) = 0.363 states/eV/atom
E above lowest polymorph = 0 meV per atom
space group = Pm-3m, No. 221

=====

# 4
DFT (PBE-GGA) results for an optimized crystal structure of Na3As.

Geometry as POSCAR:
```
Na3As
1.0
6.6421 0.0000 0.0000
-3.3211 5.7523 0.0000
0.0000 0.0000 5.2072
Na As
6 2
direct
0.1848 0.3695 0.2500
0.1848 0.8152 0.2500
0.3695 0.1848 0.7500
0.6305 0.8152 0.2500
0.8152 0.1848 0.7500
0.8152 0.6305 0.7500
0.3333 0.6667 0.7500
0.6667 0.3333 0.2500
```

DFT formation energy = -294 meV per atom
N(E_F) = 0.196 states/eV/atom
E above lowest polymorph = 126 meV per atom
space group = P6_3/mmc, No. 194

=====

# 5
DFT (PBE-GGA) results for an optimized crystal structure of Na3As7.

Geometry as POSCAR:
```
Na3As7
1.0
15.8207 0.0000 0.0000
0.0000 11.1861 0.0000
-6.4361 0.0000 12.9808
Na As
24 56
direct
0.0606 0.0681 0.1928
0.0606 0.4319 0.6928
0.1044 0.5384 0.1282
0.1044 0.9616 0.6282
0.2105 0.1992 0.0708
0.2105 0.3008 0.5708
0.2878 0.6944 0.8518
0.2878 0.8056 0.3518
0.3990 0.0440 0.5243
0.3990 0.4560 0.0243
0.4372 0.5611 0.6327
0.4372 0.9389 0.1327
0.5628 0.0611 0.8673
0.5628 0.4389 0.3673
0.6010 0.5440 0.9757
0.6010 0.9560 0.4757
0.7122 0.1944 0.6482
0.7122 0.3056 0.1482
0.7895 0.6992 0.4292
0.7895 0.8008 0.9292
0.8956 0.0384 0.3718
0.8956 0.4616 0.8718
0.9394 0.5681 0.3072
0.9394 0.9319 0.8072
0.0135 0.2182 0.5378
0.0135 0.2818 0.0378
0.0747 0.6483 0.8687
0.0747 0.8517 0.3687
0.0995 0.6444 0.5801
0.0995 0.8556 0.0801
0.1206 0.6613 0.3210
0.1206 0.8387 0.8210
0.1889 0.5637 0.4854
0.1889 0.9363 0.9854
0.2219 0.5885 0.0168
0.2219 0.9115 0.5168
0.2409 0.2454 0.3544
0.2409 0.2546 0.8544
0.2595 0.7310 0.6166
0.2595 0.7690 0.1166
0.2902 0.0741 0.2898
0.2902 0.4259 0.7898
0.3035 0.0768 0.7949
0.3035 0.4232 0.2949
0.3815 0.1617 0.7010
0.3815 0.3383 0.2010
0.3941 0.1547 0.9770
0.3941 0.3453 0.4770
0.4373 0.1501 0.2926
0.4373 0.3499 0.7926
0.4825 0.7251 0.0293
0.4825 0.7749 0.5293
0.5175 0.2251 0.4707
0.5175 0.2749 0.9707
0.5627 0.6501 0.2074
0.5627 0.8499 0.7074
0.6059 0.6547 0.5230
0.6059 0.8453 0.0230
0.6185 0.6617 0.7990
0.6185 0.8383 0.2990
0.6965 0.5768 0.7051
0.6965 0.9232 0.2051
0.7098 0.5741 0.2102
0.7098 0.9259 0.7102
0.7405 0.2310 0.8834
0.7405 0.2690 0.3834
0.7591 0.7454 0.1456
0.7591 0.7546 0.6456
0.7781 0.0885 0.4832
0.7781 0.4115 0.9832
0.8111 0.0637 0.0146
0.8111 0.4363 0.5146
0.8794 0.1613 0.1790
0.8794 0.3387 0.6790
0.9005 0.1444 0.9199
0.9005 0.3556 0.4199
0.9253 0.1483 0.6313
0.9253 0.3517 0.1313
0.9865 0.7182 0.9622
0.9865 0.7818 0.4622
```

DFT formation energy = -275 meV per atom
space group = P2_1/c, No. 14

=====

# 6
DFT (PBE-GGA) results for an optimized crystal structure of NaAs.

Geometry as POSCAR:
```
NaAs
1.0
11.0890 0.0000 0.0000
-5.5445 9.6034 0.0000
0.0000 0.0000 3.6931
Na As
6 6
direct
0.1798 0.7710 0.2500
0.2290 0.4088 0.2500
0.4088 0.1798 0.7500
0.5912 0.8202 0.2500
0.7710 0.5912 0.7500
0.8202 0.2290 0.7500
0.0846 0.5184 0.7500
0.4337 0.9154 0.7500
0.4816 0.5663 0.7500
0.5184 0.4337 0.2500
0.5663 0.0846 0.2500
0.9154 0.4816 0.2500
```

DFT formation energy = -201 meV per atom
N(E_F) = 0.293 states/eV/atom
E above lowest polymorph = 192 meV per atom
space group = P6_3/m, No. 176

=====

# 7
DFT (PBE-GGA) results for an optimized crystal structure of Na3As.

Geometry as POSCAR:
```
Na3As
1.0
5.0976 0.0000 0.0000
-2.5488 4.4146 0.0000
0.0000 0.0000 9.0786
Na As
6 2
direct
0.0000 0.0000 0.2500
0.0000 0.0000 0.7500
0.3333 0.6667 0.0799
0.3333 0.6667 0.4201
0.6667 0.3333 0.5799
0.6667 0.3333 0.9201
0.3333 0.6667 0.7500
0.6667 0.3333 0.2500
```

DFT formation energy = -418 meV per atom
N(E_F) = 0.201 states/eV/atom
E above lowest polymorph = 2 meV per atom
space group = P6_3/mmc, No. 194

=====

# 8
DFT (PBE-GGA) results for an optimized crystal structure of Na3As2.

Geometry as POSCAR:
```
Na3As2
1.0
-2.3489 3.0647 4.2627
2.3489 -3.0647 4.2627
2.3489 3.0647 -4.2627
Na As
3 2
direct
0.0000 0.0000 0.0000
0.2991 0.7991 0.5000
0.7009 0.2009 0.5000
0.3008 0.5000 0.8008
0.6992 0.5000 0.1992
```

DFT formation energy = -372 meV per atom
N(E_F) = 0.402 states/eV/atom
space group = Immm, No. 71

=====

# 9
DFT (PBE-GGA) results for an optimized crystal structure of NaAs.

Geometry as POSCAR:
```
NaAs
1.0
5.0597 0.0000 0.0000
-2.5298 4.3818 0.0000
0.0000 0.0000 5.6615
Na As
2 2
direct
0.3333 0.6667 0.2500
0.6667 0.3333 0.7500
0.3333 0.6667 0.7500
0.6667 0.3333 0.2500
```

DFT formation energy = 435 meV per atom
N(E_F) = 0.856 states/eV/atom
E above lowest polymorph = 828 meV per atom
space group = P6_3/mmc, No. 194

=====

# 10
DFT (PBE-GGA) results for an optimized crystal structure of NaAs.

Geometry as POSCAR:
```
NaAs
1.0
6.0031 0.0000 0.0000
0.0000 6.2952 0.0000
0.0000 0.0000 10.5985
Na As
8 8
direct
0.1130 0.1012 0.4221
0.1526 0.3413 0.7948
0.3474 0.6587 0.2948
0.3870 0.8988 0.9221
0.6130 0.3988 0.5779
0.6526 0.1587 0.2052
0.8474 0.8413 0.7052
0.8870 0.6012 0.0779
0.1150 0.5378 0.5403
0.1526 0.1683 0.1263
0.3474 0.8317 0.6263
0.3850 0.4622 0.0403
0.6150 0.9622 0.4597
0.6526 0.3317 0.8737
0.8474 0.6683 0.3737
0.8850 0.0378 0.9597
```

DFT formation energy = -392 meV per atom
E above lowest polymorph = 0 meV per atom
space group = P2_12_12_1, No. 19

=====

# 11
DFT (PBE-GGA) results for an optimized crystal structure of NaAs.

Geometry as POSCAR:
```
NaAs
1.0
-1.8713 4.6234 2.8744
1.8713 -4.6234 2.8744
1.8713 4.6234 -2.8744
Na As
2 2
direct
0.2115 0.0000 0.2115
0.7885 0.0000 0.7885
0.2633 0.7633 0.5000
0.5589 0.5589 0.0000
```

DFT formation energy = -316 meV per atom
N(E_F) = 0.230 states/eV/atom
E above lowest polymorph = 76 meV per atom
space group = Imm2, No. 44

=====

# 12
DFT (PBE-GGA) results for an optimized crystal structure of Na3As.

Geometry as POSCAR:
```
Na3As
1.0
-2.5373 2.5373 3.5838
2.5373 -2.5373 3.5838
2.5373 2.5373 -3.5838
Na As
3 1
direct
0.0000 0.0000 0.0000
0.2500 0.7500 0.5000
0.7500 0.2500 0.5000
0.5000 0.5000 0.0000
```

DFT formation energy = -374 meV per atom
N(E_F) = 0.207 states/eV/atom
E above lowest polymorph = 46 meV per atom
space group = I4/mmm, No. 139

=====

Calculated volume values (in Å³/cell) by entry order: 47.5, 75.1, 82.2, 199.0, 2297.2, 393.3, 204.3, 122.7, 125.5, 400.5, 99.5, 92.3.
M_tot values (in μB/f.u.) by entry order: 0.00, 2.00, 0.00, 0.00, 0.00, 0.00, 0.00, 0.00, 0.00, 0.00, 0.00, 0.00.